1.
Below is a relaxed HoBeNiN crystal, with properties calculated at the PBE level.

Its density is 8.37 g cm⁻³. Its total energy is -52.9 eV for the cell shown. The value obtained for the density of states at the Fermi level is 0.269 states/eV per atom. Its space-group type is No. 129.

Unit cell a=3.4870 b=3.4870 c=8.0505 alpha=90.00 beta=90.00 gamma=90.00
Last column: nearest neighbours and their distance in Å.
Fractional positions:
N 0.0000 0.5000 0.1340  1 Be 1.62
N 0.5000 0.0000 0.8660  1 Be 1.62
Be 0.0000 0.5000 0.3356  1 N 1.62
Ho 0.0000 0.5000 0.8464  5 N 2.32-2.47
Ni 0.0000 0.0000 0.5000  4 Be 2.19
Ho 0.5000 0.0000 0.1536  5 N 2.32-2.47
Ni 0.5000 0.5000 0.5000  4 Be 2.19
Be 0.5000 0.0000 0.6644  1 N 1.62

2.
Below is a relaxed Ho3Pa3BeN8 crystal, with properties calculated at the PBE level.

Its density is 9.81 g cm⁻³. Its total energy is -131.4 eV for the cell shown. The value obtained for the density of states at the Fermi level is 0.359 states/eV per atom. Its space-group type is No. 166.

Unit cell a=6.7703 b=6.7700 c=6.8140 alpha=119.79 beta=90.00 gamma=120.00
Last column: nearest neighbours and their distance in Å.
Fractional positions:
Ho 0.0000 0.5000 0.0000  6 N 2.39-2.49
Be 0.0000 0.0000 0.5000  6 N 2.22-2.23
Pa 0.5000 0.5000 0.5000  6 N 2.33-2.42
N 0.2485 0.4970 0.2456  3 Ho 2.39, 3 Pa 2.42
Pa 0.5000 0.0000 0.5000  6 N 2.33-2.42
Ho 0.5000 0.5000 0.0000  6 N 2.39-2.49
N 0.7680 0.0169 0.2847  1 Be 2.23, 2 Pa 2.33, 2 Ho 2.49
Ho 0.0000 0.0000 0.0000  6 N 2.39-2.49
N 0.2315 0.4629 0.7150  1 Be 2.22, 2 Pa 2.33, 2 Ho 2.49
N 0.7515 0.5030 0.7544  3 Ho 2.39, 3 Pa 2.42
Pa 0.0000 0.5000 0.5000  6 N 2.33-2.42
N 0.2489 0.0169 0.2847  1 Be 2.23, 2 Pa 2.33, 2 Ho 2.49
N 0.7685 0.5371 0.2850  1 Be 2.22, 2 Pa 2.33, 2 Ho 2.49
N 0.2320 0.9831 0.7153  1 Be 2.23, 2 Pa 2.33, 2 Ho 2.49
N 0.7511 0.9831 0.7153  1 Be 2.23, 2 Pa 2.33, 2 Ho 2.49

3.
Below is a relaxed HoPaBeN3 crystal, with properties calculated at the PBE level.

Its density is 9.56 g cm⁻³. Its total energy is -102.3 eV for the cell shown. The value obtained for the density of states at the Fermi level is 0.430 states/eV per atom. Its space-group type is No. 11.

Unit cell a=3.2538 b=7.1785 c=6.7441 alpha=99.68 beta=90.00 gamma=90.00
Last column: nearest neighbours and their distance in Å.
Fractional positions:
Ho 0.7500 0.3525 0.8104  6 N 2.33-2.45
N 0.2500 0.1090 0.8580  1 Be 1.74
Ho 0.2500 0.6475 0.1896  6 N 2.33-2.45
Pa 0.2500 0.1697 0.2028  5 N 2.29-2.56
N 0.2500 0.8448 0.5006  3 Be 1.69-1.87
N 0.7500 0.3972 0.1646  2 Pa 2.35, 3 Ho 2.36-2.41
Be 0.2500 0.0777 0.5960  4 N 1.69-1.87
Pa 0.7500 0.8303 0.7972  5 N 2.29-2.56
N 0.7500 0.1552 0.4994  3 Be 1.69-1.87
N 0.7500 0.8910 0.1420  1 Be 1.74
N 0.2500 0.6028 0.8354  2 Pa 2.35, 3 Ho 2.36-2.41
Be 0.7500 0.9223 0.4040  4 N 1.69-1.87

4.
Below is a relaxed HoPa2BeN5 crystal, with properties calculated at the PBE level.

Its density is 10.09 g cm⁻³. Its total energy is -161.4 eV for the cell shown. Its space-group type is No. 36.

Unit cell a=3.3048 b=7.8274 c=9.1919 alpha=90.00 beta=90.00 gamma=102.19
Last column: nearest neighbours and their distance in Å.
Fractional positions:
Ho 0.2054 0.4108 0.9980  5 N 2.30-2.44
N 0.5086 0.0172 0.2893  1 Be 1.75
Pa 0.0977 0.1954 0.6809  7 N 2.33-2.52
N 0.6541 0.3081 0.8460  1 Be 1.98
N 0.0313 0.0626 0.0406  2 Be 1.83
N 0.6429 0.2858 0.5184  1 Ho 2.33, 2 Pa 2.33
N 0.3459 0.6919 0.3460  1 Be 1.98
Pa 0.1081 0.2162 0.3023  4 N 2.25-2.28
Be 0.5437 0.0874 0.9589  3 N 1.75-1.83
Ho 0.7946 0.5892 0.4980  5 N 2.30-2.44
Pa 0.8919 0.7838 0.8023  4 N 2.25-2.28
Pa 0.9023 0.8046 0.1809  7 N 2.33-2.52
N 0.3571 0.7142 0.0184  1 Ho 2.33, 2 Pa 2.33
N 0.3153 0.6305 0.6896  2 Pa 2.28, 2 Ho 2.44
Be 0.4563 0.9126 0.4589  3 N 1.75-1.83
N 0.9687 0.9374 0.5406  2 Be 1.83
N 0.4914 0.9828 0.7893  1 Be 1.75
N 0.6847 0.3695 0.1896  2 Pa 2.28, 2 Ho 2.44

5.
Below is a relaxed HoPuBeN3 crystal, with properties calculated at the PBE level.

Its density is 9.94 g cm⁻³. Its total energy is -109.9 eV for the cell shown. The value obtained for the density of states at the Fermi level is 1.246 states/eV per atom. Its space-group type is No. 11.

Unit cell a=3.2725 b=7.0070 c=6.7669 alpha=97.80 beta=90.00 gamma=90.00
Last column: nearest neighbours and their distance in Å.
Fractional positions:
Be 0.2500 0.0778 0.5923  4 N 1.70-1.88
N 0.2500 0.8391 0.5012  3 Be 1.70-1.88
N 0.7500 0.4068 0.1436  3 Pu 2.23-2.36, 2 Ho 2.44
N 0.7500 0.8833 0.1523  1 Be 1.71
Ho 0.2500 0.1625 0.2045  7 N 2.39-2.58
Pu 0.2500 0.6524 0.1880  6 N 2.23-2.36
N 0.7500 0.1609 0.4988  3 Be 1.70-1.88
N 0.2500 0.1167 0.8477  1 Be 1.71
Pu 0.7500 0.3476 0.8120  6 N 2.23-2.36
Ho 0.7500 0.8375 0.7955  7 N 2.39-2.58
Be 0.7500 0.9222 0.4077  4 N 1.70-1.88
N 0.2500 0.5932 0.8564  3 Pu 2.23-2.36, 2 Ho 2.44

6.
Below is a relaxed HoBeRhN crystal, with properties calculated at the PBE level.

Its density is 8.96 g cm⁻³. Its total energy is -56.3 eV for the cell shown. The value obtained for the density of states at the Fermi level is 0.398 states/eV per atom. Its space-group type is No. 129.

Unit cell a=3.6635 b=3.6635 c=8.0298 alpha=90.00 beta=90.00 gamma=90.00
Last column: nearest neighbours and their distance in Å.
Fractional positions:
Ho 0.0000 0.5000 0.8448  1 N 2.26
N 0.5000 0.0000 0.8733  1 Be 1.59
Be 0.0000 0.5000 0.3245  1 N 1.59
Be 0.5000 0.0000 0.6755  1 N 1.59
Ho 0.5000 0.0000 0.1552  1 N 2.26
Rh 0.0000 0.0000 0.5000  4 Be 2.31
Rh 0.5000 0.5000 0.5000  4 Be 2.31
N 0.0000 0.5000 0.1267  1 Be 1.59

7.
Below is a relaxed HoThBeN3 crystal, with properties calculated at the PBE level.

Its density is 9.02 g cm⁻³. Its total energy is -98.5 eV for the cell shown. The value obtained for the density of states at the Fermi level is 0.006 states/eV per atom. Its space-group type is No. 11.

Unit cell a=3.3702 b=7.2286 c=6.8881 alpha=100.59 beta=90.00 gamma=90.00
Last column: nearest neighbours and their distance in Å.
Fractional positions:
Be 0.2500 0.0756 0.6028  2 N 1.69-1.71
Th 0.2500 0.1781 0.2142  7 N 2.42-2.69
N 0.2500 0.8458 0.4934  1 Be 1.69
Ho 0.7500 0.3465 0.8165  6 N 2.32-2.44
Ho 0.2500 0.6535 0.1835  6 N 2.32-2.44
Be 0.7500 0.9244 0.3972  2 N 1.69-1.71
N 0.2500 0.5938 0.8329  3 Ho 2.37-2.44, 2 Th 2.42
N 0.7500 0.8840 0.1442  1 Be 1.71
Th 0.7500 0.8219 0.7858  7 N 2.42-2.69
N 0.2500 0.1160 0.8558  1 Be 1.71
N 0.7500 0.4062 0.1671  3 Ho 2.37-2.44, 2 Th 2.42
N 0.7500 0.1542 0.5066  1 Be 1.69

8.
Below is a relaxed Ho2BeWN5 crystal, with properties calculated at the PBE level.

Its density is 9.71 g cm⁻³. Its total energy is -151.4 eV for the cell shown. The value obtained for the density of states at the Fermi level is 0.288 states/eV per atom. Its space-group type is No. 36.

Unit cell a=3.1137 b=7.0576 c=9.4587 alpha=90.00 beta=90.00 gamma=102.74
Last column: nearest neighbours and their distance in Å.
Fractional positions:
N 0.0450 0.0900 0.0136  2 Be 1.65
N 0.3033 0.6066 0.3681  2 W 2.07
N 0.6978 0.3955 0.1539  2 W 2.06
N 0.5002 0.0004 0.2838  1 Be 1.72
W 0.7915 0.5829 0.5120  5 N 1.91-2.07
Ho 0.8797 0.7595 0.8197  7 N 2.30-2.56
N 0.6967 0.3934 0.8681  2 W 2.07
N 0.3022 0.6045 0.6539  2 W 2.06
Ho 0.1114 0.2227 0.7001  6 N 2.33-2.52
N 0.4998 0.9996 0.7838  1 Be 1.72
Ho 0.8886 0.7773 0.2001  6 N 2.33-2.52
W 0.2085 0.4171 0.0120  5 N 1.91-2.07
Be 0.4680 0.9361 0.4593  3 N 1.65-1.72
N 0.6528 0.3055 0.5134  1 W 1.91
Be 0.5320 0.0639 0.9593  3 N 1.65-1.72
N 0.3472 0.6945 0.0134  1 W 1.91
N 0.9550 0.9100 0.5136  2 Be 1.65
Ho 0.1203 0.2405 0.3197  7 N 2.30-2.56